(1)
A geometry-optimized DyBBr structure. Source: the Alexandria database, functional GGA-PBE.

Computed properties:
**D(E_F)**: 2.85 states/eV/cell
**Mass density**: 5.282 g/cm3
**Offset from the most stable computed form**: 82.7 kJ/mol of formula units
**Energy**: -5.091 eV per atom
**Raw formation energy**: -773 meV/atom

Structure (CIF):
```
data_DyBBr
_cell_length_a 6.473
_cell_length_b 4.932
_cell_length_c 10.015
_cell_angle_alpha 90.00
_cell_angle_beta 95.25
_cell_angle_gamma 90.00
_space_group_name_H-M_alt 'C 1 2/m 1'
_space_group_IT_number 12
loop_
_space_group_symop_operation_xyz
'x,y,z'
'-x,-y,-z'
'-x,y,-z'
'x,-y,z'
'x+1/2,y+1/2,z'
'-x+1/2,-y+1/2,-z'
'-x+1/2,y+1/2,-z'
'x+1/2,-y+1/2,z'
loop_
_atom_site_label
_atom_site_type_symbol
_atom_site_fract_x
_atom_site_fract_y
_atom_site_fract_z
_atom_site_occupancy
Dy1 Dy 0.160 0.000 0.353 1
B1 B 0.000 0.347 0.500 1
Br1 Br 0.228 0.000 0.816 1
```


(2)
A geometry-optimized LiPu2PaN4 structure. Source: the Alexandria database, functional GGA-PBE.

Computed properties:
**D(E_F)**: 12.78 states/eV/cell
**Mass density**: 11.122 g/cm3
**Energy**: -10.346 eV per atom
**Raw formation energy**: -1174 meV/atom

Structure (CIF):
```
data_LiPu2PaN4
_cell_length_a 5.829
_cell_length_b 3.524
_cell_length_c 5.984
_cell_angle_alpha 90.00
_cell_angle_beta 108.21
_cell_angle_gamma 90.00
_space_group_name_H-M_alt 'P 1 2/m 1'
_space_group_IT_number 10
loop_
_space_group_symop_operation_xyz
'x,y,z'
'-x,-y,-z'
'-x,y,-z'
'x,-y,z'
loop_
_atom_site_label
_atom_site_type_symbol
_atom_site_fract_x
_atom_site_fract_y
_atom_site_fract_z
_atom_site_occupancy
Li1 Li 0.000 0.000 0.000 1
Pu1 Pu 0.000 0.500 0.500 1
Pu2 Pu 0.500 0.000 0.500 1
Pa1 Pa 0.500 0.500 0.000 1
N1 N 0.267 0.000 0.766 1
N2 N 0.288 0.500 0.274 1
```


(3)
A geometry-optimized Ca2TmP3Rh12 structure. Source: the Alexandria database, functional GGA-PBE.

Computed properties:
**D(E_F)**: 53.01 states/eV/cell
**Mass density**: 9.026 g/cm3
**Energy**: -6.575 eV per atom
**ΔH_f (0 K)**: -0.3020 eV/atom

Structure (CIF):
```
data_Ca2TmP3Rh12
_cell_length_a 8.8728
_cell_length_b 8.8728
_cell_length_c 12.7642
_cell_angle_alpha 90.00
_cell_angle_beta 90.00
_cell_angle_gamma 120.00
_space_group_name_H-M_alt 'R -3 m'
_space_group_IT_number 166
_space_group_name_Hall '-R 3 2"'
loop_
_atom_site_label
_atom_site_type_symbol
_atom_site_fract_x
_atom_site_fract_y
_atom_site_fract_z
_atom_site_occupancy
Ca1 Ca 0.0000 0.0000 0.1158 1
Tm1 Tm 0.0000 0.0000 0.5000 1
P1 P 0.0000 0.5000 0.0000 1
Rh1 Rh 0.0123 0.5061 0.8249 1
Rh2 Rh 0.0368 0.5184 0.3828 1
```


(4)
A geometry-optimized HgSb4 structure. Source: the Alexandria database, functional GGA-PBE.

Computed properties:
**D(E_F)**: 0.12 states/eV/cell
**Mass density**: 6.652 g/cm3
**Offset from the most stable computed form**: 0.0 kJ/mol of formula units
**Energy**: -3.294 eV per atom
**Raw formation energy**: 64 meV/atom

Structure (CIF):
```
data_HgSb4
_cell_length_a 6.560
_cell_length_b 5.478
_cell_length_c 9.673
_cell_angle_alpha 90.00
_cell_angle_beta 99.02
_cell_angle_gamma 90.00
_space_group_name_H-M_alt 'P 1 21/c 1'
_space_group_IT_number 14
loop_
_space_group_symop_operation_xyz
'x,y,z'
'-x,-y,-z'
'-x,y+1/2,-z+1/2'
'x,-y+1/2,z+1/2'
loop_
_atom_site_label
_atom_site_type_symbol
_atom_site_fract_x
_atom_site_fract_y
_atom_site_fract_z
_atom_site_occupancy
Hg1 Hg 0.000 0.000 0.000 1
Sb1 Sb 0.231 0.249 0.725 1
Sb2 Sb 0.396 0.664 0.894 1
```


(5)
A geometry-optimized NaLi4Th3Se8 structure. Source: the Alexandria database, functional GGA-PBE.

Computed properties:
**D(E_F)**: 15.75 states/eV/cell
**Mass density**: 5.826 g/cm3
**Energy**: -5.168 eV per atom
**Raw formation energy**: -1474 meV/atom

Structure (CIF):
```
data_NaLi4Th3Se8
_cell_length_a 8.3596
_cell_length_b 8.3596
_cell_length_c 19.4739
_cell_angle_alpha 90.00
_cell_angle_beta 90.00
_cell_angle_gamma 120.00
_space_group_name_H-M_alt 'R -3 m'
_space_group_IT_number 166
_space_group_name_Hall '-R 3 2"'
loop_
_atom_site_label
_atom_site_type_symbol
_atom_site_fract_x
_atom_site_fract_y
_atom_site_fract_z
_atom_site_occupancy
Na1 Na 0.0000 0.0000 0.0000 1
Li1 Li 0.0000 0.0000 0.5000 1
Li2 Li 0.0000 0.5000 0.5000 1
Th1 Th 0.0000 0.5000 0.0000 1
Se1 Se 0.0000 0.0000 0.2442 1
Se2 Se 0.0079 0.5040 0.2471 1
```


(6)
A geometry-optimized TlGe3C structure. Source: the Alexandria database, functional GGA-PBE.

Computed properties:
**D(E_F)**: 3.07 states/eV/cell
**Mass density**: 7.754 g/cm3
**Offset from the most stable computed form**: 0.0 kJ/mol of formula units
**Energy**: -4.129 eV per atom
**ΔH_f (0 K)**: 0.9593 eV/atom

Structure (CIF):
```
data_TlGe3C
_cell_length_a 4.531
_cell_length_b 4.531
_cell_length_c 4.531
_cell_angle_alpha 90.00
_cell_angle_beta 90.00
_cell_angle_gamma 90.00
_space_group_name_H-M_alt 'P m -3 m'
_space_group_IT_number 221
_space_group_name_Hall '-P 4 2 3'
loop_
_atom_site_label
_atom_site_type_symbol
_atom_site_fract_x
_atom_site_fract_y
_atom_site_fract_z
_atom_site_occupancy
Tl1 Tl 0.000 0.000 0.000 1
Ge1 Ge 0.000 0.500 0.500 1
C1 C 0.500 0.500 0.500 1
```


(7)
A geometry-optimized Tb3PrSm7 structure. Source: the Alexandria database, functional GGA-PBE.

Computed properties:
**D(E_F)**: 17.52 states/eV/cell
**Mass density**: 7.381 g/cm3
**Offset from the most stable computed form**: 0.0 kJ/mol of formula units
**Energy**: -4.572 eV per atom
**ΔH_f (0 K)**: 0.1280 eV/atom

Structure (CIF):
```
data_Tb3PrSm7
_cell_length_a 6.581
_cell_length_b 6.758
_cell_length_c 8.742
_cell_angle_alpha 99.29
_cell_angle_beta 99.20
_cell_angle_gamma 95.55
_space_group_name_H-M_alt 'P -1'
_space_group_IT_number 2
loop_
_space_group_symop_operation_xyz
'x,y,z'
'-x,-y,-z'
loop_
_atom_site_label
_atom_site_type_symbol
_atom_site_fract_x
_atom_site_fract_y
_atom_site_fract_z
_atom_site_occupancy
Tb1 Tb 0.000 0.000 0.000 1
Tb2 Tb 0.193 0.565 0.161 1
Pr1 Pr 0.500 0.000 0.500 1
Sm1 Sm 0.016 0.761 0.587 1
Sm2 Sm 0.276 0.279 0.788 1
Sm3 Sm 0.446 0.791 0.859 1
Sm4 Sm 0.500 0.500 0.500 1
```


(8)
A geometry-optimized CaCu6P4 structure. Source: the Alexandria database, functional GGA-PBE.

Computed properties:
**D(E_F)**: 12.91 states/eV/cell
**Mass density**: 5.332 g/cm3
**Energy**: -4.550 eV per atom
**ΔH_f (0 K)**: -0.1665 eV/atom

Structure (CIF):
```
data_CaCu6P4
_cell_length_a 6.297
_cell_length_b 6.297
_cell_length_c 8.564
_cell_angle_alpha 90.00
_cell_angle_beta 90.00
_cell_angle_gamma 90.00
_space_group_name_H-M_alt 'I -4 2 m'
_space_group_IT_number 121
_space_group_name_Hall 'I -4 2'
loop_
_atom_site_label
_atom_site_type_symbol
_atom_site_fract_x
_atom_site_fract_y
_atom_site_fract_z
_atom_site_occupancy
Ca1 Ca 0.000 0.000 0.000 1
Cu1 Cu 0.000 0.500 0.000 1
Cu2 Cu 0.148 0.148 0.631 1
P1 P 0.217 0.217 0.360 1
```


(9)
A geometry-optimized PmCd7Ag4 structure. Source: the Alexandria database, functional GGA-PBE.

Computed properties:
**D(E_F)**: 10.85 states/eV/cell
**Mass density**: 8.142 g/cm3
**Energy**: -1.818 eV per atom
**ΔH_f (0 K)**: 0.0620 eV/atom

Structure (CIF):
```
data_PmCd7Ag4
_cell_length_a 11.606
_cell_length_b 5.551
_cell_length_c 10.360
_cell_angle_alpha 90.00
_cell_angle_beta 123.56
_cell_angle_gamma 90.00
_space_group_name_H-M_alt 'C 1 2/m 1'
_space_group_IT_number 12
loop_
_space_group_symop_operation_xyz
'x,y,z'
'-x,-y,-z'
'-x,y,-z'
'x,-y,z'
'x+1/2,y+1/2,z'
'-x+1/2,-y+1/2,-z'
'-x+1/2,y+1/2,-z'
'x+1/2,-y+1/2,z'
loop_
_atom_site_label
_atom_site_type_symbol
_atom_site_fract_x
_atom_site_fract_y
_atom_site_fract_z
_atom_site_occupancy
Pm1 Pm 0.000 0.000 0.000 1
Cd1 Cd 0.000 0.500 0.000 1
Cd2 Cd 0.050 0.000 0.377 1
Cd3 Cd 0.162 0.500 0.572 1
Cd4 Cd 0.216 0.000 0.896 1
Ag1 Ag 0.081 0.500 0.780 1
Ag2 Ag 0.206 0.500 0.323 1
```


(10)
A geometry-optimized Ac7PmIn4 structure. Source: the Alexandria database, functional GGA-PBE.

Computed properties:
**D(E_F)**: 25.71 states/eV/cell
**Mass density**: 7.868 g/cm3
**Energy**: -3.795 eV per atom
**ΔH_f (0 K)**: -0.0898 eV/atom

Structure (CIF):
```
data_Ac7PmIn4
_cell_length_a 15.626
_cell_length_b 6.249
_cell_length_c 11.355
_cell_angle_alpha 90.00
_cell_angle_beta 123.40
_cell_angle_gamma 90.00
_space_group_name_H-M_alt 'C 1 2/m 1'
_space_group_IT_number 12
loop_
_space_group_symop_operation_xyz
'x,y,z'
'-x,-y,-z'
'-x,y,-z'
'x,-y,z'
'x+1/2,y+1/2,z'
'-x+1/2,-y+1/2,-z'
'-x+1/2,y+1/2,-z'
'x+1/2,-y+1/2,z'
loop_
_atom_site_label
_atom_site_type_symbol
_atom_site_fract_x
_atom_site_fract_y
_atom_site_fract_z
_atom_site_occupancy
Ac1 Ac 0.000 0.000 0.000 1
Ac2 Ac 0.068 0.500 0.393 1
Ac3 Ac 0.204 0.500 0.883 1
Ac4 Ac 0.221 0.000 0.666 1
Pm1 Pm 0.000 0.500 0.000 1
In1 In 0.051 0.000 0.748 1
In2 In 0.180 0.000 0.337 1
```